[1]
The following is a GGA-PBE calculation of a relaxed Nd2DyCo crystal, from Alexandria.

Summary:
Calculated total energy   -5.23 eV per atom
Energy of formation from the pure elements   0.0827 eV per atom

Cell lengths 9.470, 9.470, 9.470 Å; angles 23.36, 23.36, 23.36 degrees
Fractional positions:
Nd 0.000 0.000 0.000
Nd 0.216 0.216 0.216
Dy 0.442 0.442 0.442
Co 0.608 0.608 0.608

=====

[2]
The following is a GGA-PBE calculation of a relaxed Sm12TmSc6 crystal, from Alexandria.

Summary:
Calculated total energy   -5.07 eV per atom
Energy of formation from the pure elements   0.1433 eV per atom

Cell lengths 8.404, 8.404, 8.404 Å; angles 87.78, 87.78, 87.78 degrees
Fractional positions:
Sm 0.040 0.933 0.287
Sm 0.067 0.713 0.960
Sm 0.131 0.487 0.313
Sm 0.287 0.040 0.933
Sm 0.313 0.131 0.487
Sm 0.487 0.313 0.131
Sm 0.513 0.687 0.869
Sm 0.687 0.869 0.513
Sm 0.713 0.960 0.067
Sm 0.869 0.513 0.687
Sm 0.933 0.287 0.040
Sm 0.960 0.067 0.713
Tm 0.500 0.500 0.500
Sc 0.209 0.756 0.602
Sc 0.244 0.398 0.791
Sc 0.398 0.791 0.244
Sc 0.602 0.209 0.756
Sc 0.756 0.602 0.209
Sc 0.791 0.244 0.398

=====

[3]
The following is a GGA-PBE calculation of a relaxed CaTaCu2 crystal, from Alexandria.

Summary:
Calculated total energy   -5.26 eV per atom
Energy of formation from the pure elements   0.2513 eV per atom

Cell lengths 2.892, 4.817, 4.948 Å; angles 90.00, 90.00, 90.00 degrees
Fractional positions:
Ca 0.000 0.000 0.000
Ta 0.000 0.500 0.449
Cu 0.500 0.000 0.509
Cu 0.500 0.500 0.926

=====

[4]
The following is a GGA-PBE calculation of a relaxed RbHf3Fe crystal, from Alexandria.

Summary:
Calculated total energy   -5.06 eV per atom
Energy of formation from the pure elements   2.7992 eV per atom

Cell lengths 4.905, 4.905, 4.905 Å; angles 90.00, 90.00, 90.00 degrees
Fractional positions:
Rb 0.000 0.000 0.000
Hf 0.000 0.000 0.500
Hf 0.000 0.500 0.000
Hf 0.500 0.000 0.000
Fe 0.500 0.500 0.500

=====

[5]
The following is a GGA-PBE calculation of a relaxed TlAsF3 crystal, from Alexandria.

Summary:
Calculated total energy   -3.40 eV per atom

Cell lengths 4.578, 4.578, 4.578 Å; angles 90.00, 90.00, 90.00 degrees
Fractional positions:
Tl 0.000 0.000 0.000
As 0.500 0.500 0.500
F 0.000 0.000 0.500
F 0.000 0.500 0.000
F 0.500 0.000 0.000

=====

[6]
The following is a GGA-PBE calculation of a relaxed MgMn2Se crystal, from Alexandria.

Summary:
Calculated total energy   -5.77 eV per atom

Cell lengths 5.243, 5.243, 5.243 Å; angles 137.54, 135.18, 63.44 degrees
Fractional positions:
Mg 0.000 0.000 0.000
Mn 0.254 0.754 0.500
Mn 0.746 0.246 0.500
Se 0.500 0.500 0.000

=====

[7]
The following is a GGA-PBE calculation of a relaxed Pu2GeS5 crystal, from Alexandria.

Summary:
Calculated total energy   -7.79 eV per atom

Cell lengths 6.881, 6.881, 12.961 Å; angles 90.00, 90.00, 135.15 degrees
Fractional positions:
Pu 0.147 0.853 0.564
Pu 0.147 0.853 0.936
Pu 0.853 0.147 0.064
Pu 0.853 0.147 0.436
Ge 0.190 0.810 0.250
Ge 0.810 0.190 0.750
S 0.052 0.948 0.117
S 0.052 0.948 0.383
S 0.256 0.744 0.750
S 0.319 0.681 0.059
S 0.319 0.681 0.441
S 0.681 0.319 0.559
S 0.681 0.319 0.941
S 0.744 0.256 0.250
S 0.948 0.052 0.617
S 0.948 0.052 0.883

=====

[8]
The following is a GGA-PBE calculation of a relaxed NaNdSeS crystal, from Alexandria.

Summary:
Calculated total energy   -5.16 eV per atom

Cell lengths 7.282, 7.282, 7.282 Å; angles 33.57, 33.57, 33.57 degrees
Fractional positions:
Na 0.000 0.000 0.000
Nd 0.506 0.506 0.506
Se 0.756 0.756 0.756
S 0.245 0.245 0.245